(1)
## AcY2Hg (PBE)

Data for a geometry-optimized AcY2Hg structure.

DFT total energy: -4.291 eV per atom
crystal system: cubic
formation energy from the elements: 0.044 eV per atom

Structure (CIF):
```
data_AcY2Hg
_space_group_name_H-M_alt 'F m -3 m'
_space_group_IT_number 225
_space_group_name_Hall '-F 4 2 3'
_cell_length_a 7.9017
_cell_length_b 7.9017
_cell_length_c 7.9017
_cell_angle_alpha 90.00
_cell_angle_beta 90.00
_cell_angle_gamma 90.00
loop_
_atom_site_label
_atom_site_type_symbol
_atom_site_fract_x
_atom_site_fract_y
_atom_site_fract_z
Ac1 Ac 0.0000 0.0000 0.0000
Y1 Y 0.2500 0.2500 0.2500
Hg1 Hg 0.0000 0.0000 0.5000
```

(2)
## Ac2YHg5 (PBE)

Data for a geometry-optimized Ac2YHg5 structure.

DFT total energy: -2.419 eV per atom
crystal system: tetragonal
formation energy from the elements: -0.396 eV per atom

Structure (CIF):
```
data_Ac2YHg5
_space_group_name_H-M_alt 'I 4/m m m'
_space_group_IT_number 139
_space_group_name_Hall '-I 4 2'
_cell_length_a 5.4396
_cell_length_b 5.4396
_cell_length_c 15.4067
_cell_angle_alpha 90.00
_cell_angle_beta 90.00
_cell_angle_gamma 90.00
loop_
_atom_site_label
_atom_site_type_symbol
_atom_site_fract_x
_atom_site_fract_y
_atom_site_fract_z
Ac1 Ac 0.0000 0.0000 0.2349
Y1 Y 0.0000 0.0000 0.5000
Hg1 Hg 0.0000 0.0000 0.0000
Hg2 Hg 0.0000 0.5000 0.1108
```

(3)
## Ac5YHg4 (PBE)

Data for a geometry-optimized Ac5YHg4 structure.

DFT total energy: -3.183 eV per atom
crystal system: tetragonal
formation energy from the elements: -0.361 eV per atom

Structure (CIF):
```
data_Ac5YHg4
_space_group_name_H-M_alt 'P 4/m m m'
_space_group_IT_number 123
_space_group_name_Hall '-P 4 2'
_cell_length_a 4.0230
_cell_length_b 4.0230
_cell_length_c 21.2871
_cell_angle_alpha 90.00
_cell_angle_beta 90.00
_cell_angle_gamma 90.00
loop_
_atom_site_label
_atom_site_type_symbol
_atom_site_fract_x
_atom_site_fract_y
_atom_site_fract_z
Ac1 Ac 0.0000 0.0000 0.0000
Ac2 Ac 0.0000 0.0000 0.1914
Ac3 Ac 0.0000 0.0000 0.3824
Y1 Y 0.5000 0.5000 0.5000
Hg1 Hg 0.5000 0.5000 0.0948
Hg2 Hg 0.5000 0.5000 0.2892
```

(4)
## AcY2Hg4 (PBE)

Data for a geometry-optimized AcY2Hg4 structure.

DFT total energy: -2.987 eV per atom
crystal system: orthorhombic
formation energy from the elements: -0.380 eV per atom

Structure (CIF):
```
data_AcY2Hg4
_space_group_name_H-M_alt 'C m m m'
_space_group_IT_number 65
_space_group_name_Hall '-C 2 2'
_cell_length_a 7.3047
_cell_length_b 11.1299
_cell_length_c 5.2139
_cell_angle_alpha 90.00
_cell_angle_beta 90.00
_cell_angle_gamma 90.00
loop_
_atom_site_label
_atom_site_type_symbol
_atom_site_fract_x
_atom_site_fract_y
_atom_site_fract_z
Ac1 Ac 0.0000 0.0000 0.0000
Y1 Y 0.0000 0.2608 0.5000
Hg1 Hg 0.2165 0.5000 0.5000
Hg2 Hg 0.2500 0.2500 0.0000
```